Computed, not measured: a relaxed BaAsPd3Pb crystal at the PBE level of DFT.

Cell: 6.5921 7.1635 7.6454 Å, 117.94 90.00 90.00°
Closest atoms and distances in Å follow each position.
Fractional positions:
Ba (0.7500, 0.2389, 0.4779)  4 Pd 3.30-3.58
Ba (0.2500, 0.7611, 0.5221)  4 Pd 3.30-3.58
As (0.2500, 0.0815, 0.1629)  5 Pd 2.36-2.44
As (0.7500, 0.9185, 0.8371)  5 Pd 2.36-2.44
Pd (0.2500, 0.2564, 0.5128)  1 As 2.36
Pd (0.0000, 0.1994, 0.0000)  2 As 2.44
Pd (0.5000, 0.8006, 0.0000)  2 As 2.44
Pd (0.5000, 0.1994, 0.0000)  2 As 2.44
Pd (0.0000, 0.8006, 0.0000)  2 As 2.44
Pd (0.7500, 0.7436, 0.4872)  1 As 2.36
Pb (0.2500, 0.4529, 0.9057)  5 Pd 2.65-2.79
Pb (0.7500, 0.5471, 0.0943)  5 Pd 2.65-2.79

Computed properties:
* space group: No. 63
* ΔE_f: -461 meV per atom
* energy: -4.7711 eV per atom

---

Computed, not measured: a relaxed Sc2MoH crystal at the PBE level of DFT.

Cell: 8.1687 8.1687 8.1687 Å, 21.07 21.07 21.07°
Closest atoms and distances in Å follow each position.
Fractional positions:
Sc (0.8891, 0.8891, 0.8891)  3 H 2.18
Sc (0.1109, 0.1109, 0.1109)  3 H 2.18
H (0.5000, 0.5000, 0.5000)  6 Sc 2.18
Mo (0.0000, 0.0000, 0.0000)  2 Sc 2.66

Computed properties:
* space group: No. 166
* energy: -6.4500 eV per atom

---

Computed, not measured: a relaxed Sc3TcO crystal at the PBE level of DFT.

Cell: 9.8037 3.5079 5.9305 Å, 72.82 105.69 90.01°
Closest atoms and distances in Å follow each position.
Fractional positions:
Sc (0.9698, 0.6944, 0.0908)  3 O 2.08-2.18
Sc (0.0970, 0.9363, 0.6069)  1 O 2.07
Sc (0.7858, 0.4221, 0.6350)  3 O 2.08-2.18
Sc (0.3063, 0.2013, 0.0769)  4 Tc 2.80
Sc (0.6586, 0.1802, 0.1188)  1 O 2.07
Sc (0.4493, 0.9153, 0.6489)  4 Tc 2.80
Tc (0.2325, 0.5363, 0.4069)  7 Sc 2.64-2.80
Tc (0.5231, 0.5803, 0.3189)  7 Sc 2.64-2.80
O (0.9044, 0.8949, 0.6893)  4 Sc 2.07-2.18
O (0.8512, 0.2214, 0.0365)  4 Sc 2.07-2.18

Computed properties:
* space group: No. 12
* raw formation energy: -6.1 eV/f.u.
* energy: -8.0874 eV per atom